(1)
Compound: Pm3Sn2Au4
Source: Alexandria via LeMat-Bulk
Functional: GGA-PBE
Structure: optimized geometry

a b c (Å): 6.080 6.080 9.176
angles (deg): 113.09 113.09 45.42
Element x y z (fractional)
Pm 0.000 0.000 0.000
Pm 0.349 0.349 0.315
Pm 0.651 0.651 0.685
Sn 0.369 0.369 0.706
Sn 0.631 0.631 0.294
Au 0.086 0.086 0.423
Au 0.290 0.290 0.952
Au 0.710 0.710 0.048
Au 0.914 0.914 0.577

Crystal system: monoclinic



(2)
Compound: Tc3MoP
Source: Alexandria via LeMat-Bulk
Functional: GGA-PBE
Structure: optimized geometry

a b c (Å): 4.319 4.319 4.319
angles (deg): 90.00 90.00 90.00
Element x y z (fractional)
Tc 0.000 0.000 0.500
Tc 0.000 0.500 0.000
Tc 0.500 0.000 0.000
Mo 0.500 0.500 0.500
P 0.000 0.000 0.000

Polymorph energy (0 for the lowest one) (eV per formula unit): 0.00
Crystal system: cubic



no.,calculated formation energy (kJ/mol of atoms)
1,-76.2
2,51.8